Here is a geometry-optimized LiCo2NiH structure from Alexandria. Energies are from GGA-PBE.

CIF file:
```
data_LiCo2NiH
_symmetry_space_group_name_H-M 'P 1'
_symmetry_Int_Tables_number 1
_cell_length_a 3.523
_cell_length_b 3.523
_cell_length_c 3.708
_cell_angle_alpha 90.00
_cell_angle_beta 90.00
_cell_angle_gamma 90.00
loop_
_symmetry_equiv_pos_as_xyz
'x,y,z'
loop_
_atom_site_label
_atom_site_fract_x
_atom_site_fract_y
_atom_site_fract_z
Co1 0.000 0.500 0.000
Co2 0.500 0.000 0.000
Li1 0.000 0.000 0.500
H1 0.000 0.000 0.000
Ni1 0.500 0.500 0.500
```

As for the offset from the most stable computed form: 0.000 eV/atom. As for the total magnetization: 3.48 μB per formula unit. As for the space-group type: No. 123. For the calculated volume, the calculation gives 9.20 A^3/atom.

***

Here is a geometry-optimized LiCoNiH2 structure from Alexandria. Energies are from GGA-PBE.

CIF file:
```
data_LiCoNiH2
_symmetry_space_group_name_H-M 'P 1'
_symmetry_Int_Tables_number 1
_cell_length_a 3.173
_cell_length_b 4.250
_cell_length_c 3.173
_cell_angle_alpha 90.00
_cell_angle_beta 90.00
_cell_angle_gamma 90.00
loop_
_symmetry_equiv_pos_as_xyz
'x,y,z'
loop_
_atom_site_label
_atom_site_fract_x
_atom_site_fract_y
_atom_site_fract_z
H1 0.500 0.000 0.000
H2 0.000 0.000 0.500
Ni1 0.500 0.500 0.500
Co1 0.000 0.000 0.000
Li1 0.000 0.500 0.000
```

As for the total magnetization: 0.17 μB per formula unit. The electronic total energy comes out at -3.721 eV/atom. As for the space-group type: No. 123. For the calculated volume, the calculation gives 8.56 A^3/atom.